1.
Below is a relaxed structure of Ba2LuBi, with properties calculated at the PBE-GGA level.

Calculated values
The value obtained for the total energy is -3.1529 eV/atom.

a = 5.992 Å, b = 5.992 Å, c = 5.992 Å
α = 60.00°, β = 60.00°, γ = 60.00°
Fractional coordinates of all 4 atoms:
Ba (0.000, 0.000, 0.000)
Ba (0.250, 0.250, 0.250)
Lu (0.500, 0.500, 0.500)
Bi (0.750, 0.750, 0.750)

=====

2.
Below is a relaxed structure of LiHfAu, with properties calculated at the PBE-GGA level.

Calculated values
The excess energy over the best structure of this formula in the dataset is 302 meV per atom.

a = 4.466 Å, b = 4.466 Å, c = 4.466 Å
α = 60.00°, β = 60.00°, γ = 60.00°
Fractional coordinates of all 3 atoms:
Li (0.000, 0.000, 0.000)
Hf (0.750, 0.750, 0.750)
Au (0.500, 0.500, 0.500)

=====

3.
Below is a relaxed structure of KYPu, with properties calculated at the PBE-GGA level.

Calculated values
The excess energy over the best structure of this formula in the dataset is 0 meV per atom.

a = 5.814 Å, b = 5.814 Å, c = 5.814 Å
α = 60.00°, β = 60.00°, γ = 60.00°
Fractional coordinates of all 3 atoms:
K (0.000, 0.000, 0.000)
Y (0.250, 0.250, 0.250)
Pu (0.500, 0.500, 0.500)

=====

4.
Below is a relaxed structure of DyScPd, with properties calculated at the PBE-GGA level.

Calculated values
The calculation puts the formation energy at -0.457 eV per atom. The excess energy over the best structure of this formula in the dataset is 0 meV per atom.

a = 4.730 Å, b = 4.730 Å, c = 4.730 Å
α = 60.00°, β = 60.00°, γ = 60.00°
Fractional coordinates of all 3 atoms:
Dy (0.000, 0.000, 0.000)
Sc (0.500, 0.500, 0.500)
Pd (0.250, 0.250, 0.250)

=====

5.
Below is a relaxed structure of LiMgIn2Cu4, with properties calculated at the PBE-GGA level.

Calculated values
The value obtained for the total energy is -3.0729 eV/atom.

a = 4.417 Å, b = 4.417 Å, c = 6.268 Å
α = 90.00°, β = 90.00°, γ = 90.00°
Fractional coordinates of all 8 atoms:
Li (0.000, 0.000, 0.000)
Mg (0.500, 0.500, 0.500)
In (0.000, 0.000, 0.500)
In (0.500, 0.500, 0.000)
Cu (0.000, 0.500, 0.243)
Cu (0.000, 0.500, 0.757)
Cu (0.500, 0.000, 0.243)
Cu (0.500, 0.000, 0.757)

=====

6.
Below is a relaxed structure of PaFeAu, with properties calculated at the PBE-GGA level.

Calculated values
The calculation puts the formation energy at 0.031 eV per atom.

a = 4.403 Å, b = 4.403 Å, c = 4.403 Å
α = 60.00°, β = 60.00°, γ = 60.00°
Fractional coordinates of all 3 atoms:
Pa (0.000, 0.000, 0.000)
Fe (0.250, 0.250, 0.250)
Au (0.500, 0.500, 0.500)

=====

7.
Below is a relaxed structure of ScBeIn2Cu4, with properties calculated at the PBE-GGA level.

Calculated values
The value obtained for the total energy is -3.8215 eV/atom.

a = 4.350 Å, b = 4.350 Å, c = 6.400 Å
α = 90.00°, β = 90.00°, γ = 90.00°
Fractional coordinates of all 8 atoms:
Sc (0.000, 0.000, 0.000)
Be (0.500, 0.500, 0.500)
In (0.000, 0.000, 0.500)
In (0.500, 0.500, 0.000)
Cu (0.000, 0.500, 0.274)
Cu (0.000, 0.500, 0.726)
Cu (0.500, 0.000, 0.274)
Cu (0.500, 0.000, 0.726)

=====

8.
Below is a relaxed structure of BiW3Br9, with properties calculated at the PBE-GGA level.

Calculated values
The value obtained for the total energy is -5.0040 eV/atom.

a = 9.912 Å, b = 13.280 Å, c = 13.219 Å
α = 90.00°, β = 102.54°, γ = 90.00°
Fractional coordinates of all 52 atoms:
Bi (0.015, 0.140, 0.097)
Bi (0.015, 0.360, 0.597)
Bi (0.985, 0.640, 0.403)
Bi (0.985, 0.860, 0.903)
W (0.358, 0.067, 0.546)
W (0.358, 0.433, 0.046)
W (0.402, 0.622, 0.996)
W (0.402, 0.878, 0.496)
W (0.411, 0.026, 0.363)
W (0.411, 0.474, 0.863)
W (0.589, 0.526, 0.137)
W (0.589, 0.974, 0.637)
W (0.598, 0.122, 0.504)
W (0.598, 0.378, 0.004)
W (0.642, 0.567, 0.954)
W (0.642, 0.933, 0.454)
Br (0.025, 0.687, 0.215)
Br (0.025, 0.813, 0.715)
Br (0.082, 0.053, 0.888)
Br (0.082, 0.447, 0.388)
Br (0.158, 0.153, 0.617)
Br (0.158, 0.347, 0.117)
Br (0.174, 0.530, 0.905)
Br (0.174, 0.970, 0.405)
Br (0.276, 0.700, 0.500)
Br (0.276, 0.800, 0.000)
Br (0.298, 0.064, 0.165)
Br (0.298, 0.436, 0.665)
Br (0.351, 0.581, 0.180)
Br (0.351, 0.919, 0.680)
Br (0.366, 0.215, 0.414)
Br (0.366, 0.285, 0.914)
Br (0.454, 0.662, 0.812)
Br (0.454, 0.838, 0.312)
Br (0.546, 0.162, 0.688)
Br (0.546, 0.338, 0.188)
Br (0.634, 0.715, 0.086)
Br (0.634, 0.785, 0.586)
Br (0.649, 0.081, 0.320)
Br (0.649, 0.419, 0.820)
Br (0.702, 0.564, 0.335)
Br (0.702, 0.936, 0.835)
Br (0.724, 0.200, 0.000)
Br (0.724, 0.300, 0.500)
Br (0.826, 0.030, 0.595)
Br (0.826, 0.470, 0.095)
Br (0.842, 0.653, 0.883)
Br (0.842, 0.847, 0.383)
Br (0.918, 0.553, 0.612)
Br (0.918, 0.947, 0.112)
Br (0.975, 0.187, 0.285)
Br (0.975, 0.313, 0.785)